# GGA-PBEsol YCuIr2, relaxed
# density: 13.98 Mg/m³
# energy above the lowest structure with this stoichiometry: 0 meV per atom
# formation energy from the elements: -47 kJ/mol of formula units
# electronic total energy: -31.29 eV/cell
data_YCuIr2
_cell_length_a 2.861
_cell_length_b 3.908
_cell_length_c 5.706
_cell_angle_alpha 90.00
_cell_angle_beta 90.00
_cell_angle_gamma 90.00
_symmetry_space_group_name_H-M 'P m m 2'
_symmetry_Int_Tables_number 25
_symmetry_space_group_name_Hall 'P 2 -2'
loop_
_atom_site_label
_atom_site_fract_x
_atom_site_fract_y
_atom_site_fract_z
Y1 0.000 0.000 0.000
Cu1 0.500 0.500 0.282
Ir1 0.000 0.000 0.501
Ir2 0.500 0.500 0.717

=====

# GGA-PBEsol LiV2P4H2O16, relaxed
# density: 3.09 Mg/m³
# energy above the lowest structure with this stoichiometry: 0 meV per atom
# electronic total energy: -374.26 eV/cell
data_LiV2P4H2O16
_cell_length_a 7.641
_cell_length_b 7.789
_cell_length_c 9.630
_cell_angle_alpha 90.00
_cell_angle_beta 113.05
_cell_angle_gamma 90.00
_symmetry_space_group_name_H-M 'P 1 21 1'
_symmetry_Int_Tables_number 4
_symmetry_space_group_name_Hall 'P 2yb'
loop_
_atom_site_label
_atom_site_fract_x
_atom_site_fract_y
_atom_site_fract_z
Li1 0.121 0.000 0.224
V1 0.001 0.118 0.747
V2 0.492 0.631 0.750
P1 0.052 0.280 0.067
P2 0.054 0.468 0.568
P3 0.442 0.776 0.425
P4 0.448 0.981 0.927
H1 0.255 0.620 0.004
H2 0.269 0.135 0.513
O1 0.017 0.300 0.898
O2 0.026 0.452 0.401
O3 0.054 0.461 0.132
O4 0.063 0.287 0.634
O5 0.094 0.667 0.906
O6 0.101 0.068 0.408
O7 0.246 0.190 0.152
O8 0.251 0.557 0.651
O9 0.254 0.676 0.344
O10 0.256 0.073 0.842
O11 0.392 0.575 0.095
O12 0.394 0.187 0.598
O13 0.412 0.955 0.350
O14 0.430 0.798 0.858
O15 0.474 0.788 0.593
O16 0.474 0.966 0.094

=====

# GGA-PBEsol AlIrCl2, relaxed
# density: 7.58 Mg/m³
# energy above the lowest structure with this stoichiometry: 0 meV per atom
# formation energy (no corrections): 0.4778 eV per atom
# electronic total energy: -64.08 eV/cell
data_AlIrCl2
_cell_length_a 6.336
_cell_length_b 6.336
_cell_length_c 6.336
_cell_angle_alpha 90.00
_cell_angle_beta 90.00
_cell_angle_gamma 90.00
_symmetry_space_group_name_H-M 'F -4 3 m'
_symmetry_Int_Tables_number 216
_symmetry_space_group_name_Hall 'F -4 2 3'
loop_
_atom_site_label
_atom_site_fract_x
_atom_site_fract_y
_atom_site_fract_z
Al1 0.000 0.000 0.000
Ir1 0.250 0.250 0.750
Cl1 0.000 0.000 0.500
Cl2 0.250 0.250 0.250

=====

# GGA-PBEsol Li3MnCoO5, relaxed
# density: 4.43 Mg/m³
# energy above the lowest structure with this stoichiometry: 5 meV per atom
# formation energy (no corrections): -1.7790 eV per atom
# electronic total energy: -269.74 eV/cell
data_Li3MnCoO5
_cell_length_a 20.126
_cell_length_b 2.822
_cell_length_c 5.714
_cell_angle_alpha 90.00
_cell_angle_beta 97.57
_cell_angle_gamma 90.00
_symmetry_space_group_name_H-M 'C 1 2/m 1'
_symmetry_Int_Tables_number 12
_symmetry_space_group_name_Hall '-C 2y'
loop_
_atom_site_label
_atom_site_fract_x
_atom_site_fract_y
_atom_site_fract_z
Li1 0.000 0.000 0.000
Li2 0.000 0.000 0.500
Li3 0.092 0.500 0.289
Li4 0.201 0.000 0.104
Mn1 0.097 0.500 0.802
Co1 0.200 0.000 0.599
O1 0.008 0.500 0.752
O2 0.102 0.000 0.026
O3 0.105 0.000 0.572
O4 0.197 0.500 0.824
O5 0.205 0.500 0.380